Entry 1:
{
  "formula": "Ba6In2HN",
  "functional": "PBE",
  "state": "optimized geometry",
  "cell": [[7.9202, 0.0000, 0.0000], [-0.0112, 7.9305, 0.0000], [-3.9505, -3.9675, 5.7633]],
  "species": ["Ba", "Ba", "Ba", "Ba", "Ba", "Ba", "In", "In", "H", "N"],
  "frac_coords": [[0.1951, 0.2817, 0.4950], [0.2401, 0.2424, 0.9774], [0.2848, 0.8022, 0.5010], [0.7151, 0.1978, 0.4990], [0.7599, 0.7576, 0.0226], [0.8049, 0.7183, 0.5050], [0.2498, 0.7494, 0.9993], [0.7502, 0.2506, 0.0007], [0.5000, 0.5000, 0.5000], [0.0000, 0.0000, 0.5000]],
  "dft_energy_ev_per_cell": -32.8,
  "dos_at_fermi_per_ev_cell": 10.15,
  "m_tot_mub_per_fu": 0.000
}

***

Entry 2:
{
  "formula": "BaNaInH6",
  "functional": "PBE",
  "state": "optimized geometry",
  "cell": [[5.5718, 0.0000, 0.0000], [-2.7859, 4.8254, 0.0000], [0.0000, 0.0000, 5.3707]],
  "species": ["Ba", "Na", "In", "H", "H", "H", "H", "H", "H"],
  "frac_coords": [[0.0000, 0.0000, 0.0000], [0.3333, 0.6667, 0.5000], [0.6667, 0.3333, 0.5000], [0.3922, 0.0371, 0.7120], [0.3922, 0.3551, 0.2880], [0.6449, 0.0371, 0.2880], [0.6449, 0.6078, 0.7120], [0.9629, 0.3551, 0.7120], [0.9629, 0.6078, 0.2880]],
  "dft_energy_ev_per_cell": -26.9,
  "dos_at_fermi_per_ev_cell": 0.00,
  "m_tot_mub_per_fu": 0.000
}

***

Entry 3:
{
  "formula": "BaNa2InH",
  "functional": "PBE",
  "state": "optimized geometry",
  "cell": [[5.1433, 0.0000, 0.0000], [0.0000, 5.1433, 0.0000], [0.0000, 0.0000, 5.4260]],
  "species": ["Ba", "Na", "Na", "In", "H"],
  "frac_coords": [[0.0000, 0.0000, 0.0000], [0.0000, 0.5000, 0.5000], [0.5000, 0.0000, 0.5000], [0.5000, 0.5000, 0.0000], [0.0000, 0.0000, 0.5000]],
  "dft_energy_ev_per_cell": -11.4,
  "dos_at_fermi_per_ev_cell": 4.12,
  "m_tot_mub_per_fu": 0.076
}

***

Entry 4:
{
  "formula": "BaNbInH2",
  "functional": "PBE",
  "state": "optimized geometry",
  "cell": [[4.4602, 0.0000, 0.0000], [0.0000, 4.4602, 0.0000], [0.0000, 0.0000, 7.0516]],
  "species": ["Ba", "Nb", "In", "H", "H"],
  "frac_coords": [[0.0000, 0.0000, 0.0000], [0.5000, 0.5000, 0.5000], [0.0000, 0.0000, 0.5000], [0.0000, 0.5000, 0.0000], [0.5000, 0.0000, 0.0000]],
  "dos_at_fermi_per_ev_cell": 5.96,
  "relative_energy_ev_per_atom": 0.022,
  "m_tot_mub_per_fu": 2.547
}

***

Entry 5:
{
  "formula": "BaNbInH2",
  "functional": "PBE",
  "state": "optimized geometry",
  "cell": [[4.4547, 0.0000, 0.0000], [0.0000, 4.4547, 0.0000], [0.0000, 0.0000, 6.9683]],
  "species": ["Ba", "Nb", "In", "H", "H"],
  "frac_coords": [[0.0000, 0.0000, 0.0000], [0.0000, 0.0000, 0.5000], [0.5000, 0.5000, 0.5000], [0.0000, 0.5000, 0.0000], [0.5000, 0.0000, 0.0000]],
  "dos_at_fermi_per_ev_cell": 4.08,
  "relative_energy_ev_per_atom": 0.000,
  "m_tot_mub_per_fu": 3.450
}

***

Entry 6:
{
  "formula": "Ba2InNiH6",
  "functional": "PBE",
  "state": "optimized geometry",
  "cell": [[4.1162, -4.1150, 0.0000], [4.1162, 4.1150, 0.0000], [-4.0980, 0.0000, 4.1617]],
  "species": ["Ba", "Ba", "In", "Ni", "H", "H", "H", "H", "H", "H"],
  "frac_coords": [[0.2504, 0.7496, 0.0000], [0.7496, 0.2504, 0.0000], [0.0000, 0.0000, 0.5000], [0.5000, 0.5000, 0.5000], [0.3003, 0.6997, 0.5000], [0.3012, 0.3012, 0.5018], [0.3018, 0.3018, 0.1027], [0.6982, 0.6982, 0.8973], [0.6988, 0.6988, 0.4982], [0.6997, 0.3003, 0.5000]],
  "dft_energy_ev_per_cell": -35.4,
  "dos_at_fermi_per_ev_cell": 0.84,
  "m_tot_mub_per_fu": 0.000
}

***

Entry 7:
{
  "formula": "Ba3In2H12O12",
  "functional": "PBE",
  "state": "optimized geometry",
  "cell": [[-7.1862, 7.1862, 7.1862], [7.1862, -7.1862, 7.1862], [7.1862, 7.1862, -7.1862]],
  "species": ["Ba", "Ba", "Ba", "Ba", "Ba", "Ba", "Ba", "Ba", "Ba", "Ba", "Ba", "Ba", "In", "In", "In", "In", "In", "In", "In", "In", "H", "H", "H", "H", "H", "H", "H", "H", "H", "H", "H", "H", "H", "H", "H", "H", "H", "H", "H", "H", "H", "H", "H", "H", "H", "H", "H", "H", "H", "H", "H", "H", "H", "H", "H", "H", "H", "H", "H", "H", "H", "H", "H", "H", "H", "H", "H", "H", "O", "O", "O", "O", "O", "O", "O", "O", "O", "O", "O", "O", "O", "O", "O", "O", "O", "O", "O", "O", "O", "O", "O", "O", "O", "O", "O", "O", "O", "O", "O", "O", "O", "O", "O", "O", "O", "O", "O", "O", "O", "O", "O", "O", "O", "O", "O", "O"],
  "frac_coords": [[0.1250, 0.2500, 0.3750], [0.1250, 0.3750, 0.7500], [0.2500, 0.3750, 0.1250], [0.2500, 0.8750, 0.6250], [0.3750, 0.1250, 0.2500], [0.3750, 0.7500, 0.1250], [0.6250, 0.2500, 0.8750], [0.6250, 0.8750, 0.7500], [0.7500, 0.1250, 0.3750], [0.7500, 0.6250, 0.8750], [0.8750, 0.6250, 0.2500], [0.8750, 0.7500, 0.6250], [0.0000, 0.0000, 0.0000], [0.0000, 0.0000, 0.5000], [0.0000, 0.5000, 0.0000], [0.0000, 0.5000, 0.5000], [0.5000, 0.0000, 0.0000], [0.5000, 0.0000, 0.5000], [0.5000, 0.5000, 0.0000], [0.5000, 0.5000, 0.5000], [0.0503, 0.7482, 0.1130], [0.0503, 0.8020, 0.9373], [0.0627, 0.6130, 0.8647], [0.0627, 0.9497, 0.1980], [0.1130, 0.0503, 0.7482], [0.1130, 0.5627, 0.3647], [0.1353, 0.6980, 0.7482], [0.1353, 0.9373, 0.3870], [0.1980, 0.0627, 0.9497], [0.1980, 0.6353, 0.2482], [0.2482, 0.1980, 0.6353], [0.2482, 0.5503, 0.6130], [0.2518, 0.8647, 0.3020], [0.2518, 0.8870, 0.9497], [0.3020, 0.2518, 0.8647], [0.3020, 0.5503, 0.4373], [0.3647, 0.1130, 0.5627], [0.3647, 0.7518, 0.8020], [0.3870, 0.1353, 0.9373], [0.3870, 0.7518, 0.4497], [0.4373, 0.3020, 0.5503], [0.4373, 0.6353, 0.8870], [0.4497, 0.3870, 0.7518], [0.4497, 0.5627, 0.6980], [0.5503, 0.4373, 0.3020], [0.5503, 0.6130, 0.2482], [0.5627, 0.3647, 0.1130], [0.5627, 0.6980, 0.4497], [0.6130, 0.2482, 0.5503], [0.6130, 0.8647, 0.0627], [0.6353, 0.2482, 0.1980], [0.6353, 0.8870, 0.4373], [0.6980, 0.4497, 0.5627], [0.6980, 0.7482, 0.1353], [0.7482, 0.1130, 0.0503], [0.7482, 0.1353, 0.6980], [0.7518, 0.4497, 0.3870], [0.7518, 0.8020, 0.3647], [0.8020, 0.3647, 0.7518], [0.8020, 0.9373, 0.0503], [0.8647, 0.0627, 0.6130], [0.8647, 0.3020, 0.2518], [0.8870, 0.4373, 0.6353], [0.8870, 0.9497, 0.2518], [0.9373, 0.0503, 0.8020], [0.9373, 0.3870, 0.1353], [0.9497, 0.1980, 0.0627], [0.9497, 0.2518, 0.8870], [0.0262, 0.1948, 0.1134], [0.0262, 0.3314, 0.9128], [0.0814, 0.6948, 0.6686], [0.0814, 0.8866, 0.4128], [0.0872, 0.6134, 0.4186], [0.0872, 0.9738, 0.6686], [0.1134, 0.0262, 0.1948], [0.1134, 0.5872, 0.9186], [0.1686, 0.1948, 0.5814], [0.1686, 0.4738, 0.5872], [0.1948, 0.1134, 0.0262], [0.1948, 0.5814, 0.1686], [0.3052, 0.3314, 0.9186], [0.3052, 0.4738, 0.3866], [0.3314, 0.9128, 0.0262], [0.3314, 0.9186, 0.3052], [0.3866, 0.3052, 0.4738], [0.3866, 0.5814, 0.9128], [0.4128, 0.0814, 0.8866], [0.4128, 0.8314, 0.5262], [0.4186, 0.0872, 0.6134], [0.4186, 0.8314, 0.8052], [0.4738, 0.3866, 0.3052], [0.4738, 0.5872, 0.1686], [0.5262, 0.4128, 0.8314], [0.5262, 0.6134, 0.6948], [0.5814, 0.1686, 0.1948], [0.5814, 0.9128, 0.3866], [0.5872, 0.1686, 0.4738], [0.5872, 0.9186, 0.1134], [0.6134, 0.4186, 0.0872], [0.6134, 0.6948, 0.5262], [0.6686, 0.0814, 0.6948], [0.6686, 0.0872, 0.9738], [0.6948, 0.5262, 0.6134], [0.6948, 0.6686, 0.0814], [0.8052, 0.4186, 0.8314], [0.8052, 0.8866, 0.9738], [0.8314, 0.5262, 0.4128], [0.8314, 0.8052, 0.4186], [0.8866, 0.4128, 0.0814], [0.8866, 0.9738, 0.8052], [0.9128, 0.0262, 0.3314], [0.9128, 0.3866, 0.5814], [0.9186, 0.1134, 0.5872], [0.9186, 0.3052, 0.3314], [0.9738, 0.6686, 0.0872], [0.9738, 0.8052, 0.8866]],
  "dft_energy_ev_per_cell": -623.5,
  "dos_at_fermi_per_ev_cell": 0.00,
  "m_tot_mub_per_fu": 0.000
}

***

Entry 8:
{
  "formula": "BaInP2H",
  "functional": "PBE",
  "state": "optimized geometry",
  "cell": [[6.4171, -1.9163, 0.0000], [6.4171, 1.9163, 0.0000], [-1.5703, 0.0000, 9.5952]],
  "species": ["Ba", "Ba", "In", "In", "P", "P", "P", "P", "H", "H"],
  "frac_coords": [[0.1592, 0.1592, 0.1740], [0.8408, 0.8408, 0.8260], [0.4355, 0.4355, 0.3278], [0.5645, 0.5645, 0.6722], [0.1273, 0.1273, 0.8388], [0.3652, 0.3652, 0.5667], [0.6348, 0.6348, 0.4333], [0.8727, 0.8727, 0.1612], [0.1344, 0.1344, 0.4369], [0.8656, 0.8656, 0.5631]],
  "dft_energy_ev_per_cell": -40.6,
  "dos_at_fermi_per_ev_cell": 2.74,
  "m_tot_mub_per_fu": 0.000
}

***

Entry 9:
{
  "formula": "Ba2InHPd",
  "functional": "PBE",
  "state": "optimized geometry",
  "cell": [[5.9789, 0.0000, 0.0000], [0.0000, 5.9789, 0.0000], [0.0000, 0.0000, 3.8336]],
  "species": ["Ba", "Ba", "In", "H", "Pd"],
  "frac_coords": [[0.0000, 0.5000, 0.0000], [0.5000, 0.0000, 0.0000], [0.0000, 0.0000, 0.5000], [0.5000, 0.5000, 0.0000], [0.5000, 0.5000, 0.5000]],
  "dft_energy_ev_per_cell": -17.2,
  "dos_at_fermi_per_ev_cell": 3.23,
  "m_tot_mub_per_fu": 0.000
}

***

Entry 10:
{
  "formula": "Ba2InHPd6",
  "functional": "PBE",
  "state": "optimized geometry",
  "cell": [[5.2309, -3.0259, 0.0000], [5.2309, 3.0259, 0.0000], [-3.5150, 0.0000, 6.3783]],
  "species": ["Ba", "Ba", "In", "H", "Pd", "Pd", "Pd", "Pd", "Pd", "Pd"],
  "frac_coords": [[0.2264, 0.2264, 0.1811], [0.7736, 0.7736, 0.8189], [0.5000, 0.5000, 0.0000], [0.0000, 0.0000, 0.5000], [0.2246, 0.2246, 0.6685], [0.2264, 0.7179, 0.6687], [0.2821, 0.7736, 0.3313], [0.7179, 0.2264, 0.6687], [0.7736, 0.2821, 0.3313], [0.7754, 0.7754, 0.3315]],
  "dft_energy_ev_per_cell": -45.7,
  "dos_at_fermi_per_ev_cell": 2.27,
  "m_tot_mub_per_fu": 0.000
}

***

Entry 11:
{
  "formula": "BaInH6Pd2",
  "functional": "PBE",
  "state": "optimized geometry",
  "cell": [[3.8057, -5.6260, 0.0000], [3.8057, 5.6260, 0.0000], [0.0000, 0.0000, 5.8428]],
  "species": ["Ba", "Ba", "In", "In", "H", "H", "H", "H", "H", "H", "H", "H", "H", "H", "H", "H", "Pd", "Pd", "Pd", "Pd"],
  "frac_coords": [[0.1534, 0.8466, 0.7500], [0.8466, 0.1534, 0.2500], [0.3531, 0.6469, 0.2500], [0.6469, 0.3531, 0.7500], [0.0265, 0.6134, 0.2500], [0.1986, 0.1986, 0.0000], [0.1986, 0.1986, 0.5000], [0.3866, 0.9735, 0.2500], [0.3884, 0.6116, 0.5951], [0.3884, 0.6116, 0.9049], [0.6116, 0.3884, 0.0951], [0.6116, 0.3884, 0.4049], [0.6134, 0.0265, 0.7500], [0.8014, 0.8014, 0.0000], [0.8014, 0.8014, 0.5000], [0.9735, 0.3866, 0.7500], [0.2350, 0.3746, 0.7500], [0.3746, 0.2350, 0.2500], [0.6254, 0.7650, 0.7500], [0.7650, 0.6254, 0.2500]],
  "dft_energy_ev_per_cell": -74.0,
  "dos_at_fermi_per_ev_cell": 3.81,
  "m_tot_mub_per_fu": 0.000
}

***

Entry 12:
{
  "formula": "BaInHPd2",
  "functional": "PBE",
  "state": "optimized geometry",
  "cell": [[2.1623, -6.0864, 0.0000], [2.1623, 6.0864, 0.0000], [0.0000, 0.0000, 7.6697]],
  "species": ["Ba", "Ba", "In", "In", "H", "H", "Pd", "Pd", "Pd", "Pd"],
  "frac_coords": [[0.0532, 0.9468, 0.7500], [0.9468, 0.0532, 0.2500], [0.2251, 0.7749, 0.2500], [0.7749, 0.2251, 0.7500], [0.5000, 0.5000, 0.0000], [0.5000, 0.5000, 0.5000], [0.3492, 0.6508, 0.5561], [0.3492, 0.6508, 0.9439], [0.6508, 0.3492, 0.0561], [0.6508, 0.3492, 0.4439]],
  "dft_energy_ev_per_cell": -42.0,
  "dos_at_fermi_per_ev_cell": 4.46,
  "m_tot_mub_per_fu": 0.000
}